[1]
The following is a PBE-GGA calculation of a geometry-optimized BaReHg2 structure, from Alexandria.

Structure (POSCAR):
```
BaReHg2
1.0
4.678 0.000 0.000
0.000 4.678 0.000
0.000 0.000 9.814
Ba Re Hg
2 2 4
direct
0.000 0.000 0.000
0.500 0.500 0.500
0.000 0.500 0.250
0.500 0.000 0.750
0.000 0.000 0.500
0.000 0.500 0.750
0.500 0.000 0.250
0.500 0.500 0.000
```

formation energy = 3.58 eV per formula unit
energy relative to the lowest polymorph listed for this composition = 29.7 kJ per mole of atoms

***

[2]
The following is a PBE-GGA calculation of a geometry-optimized TcAg2Sn8 structure, from Alexandria.

Structure (POSCAR):
```
TcAg2Sn8
1.0
5.809 -5.497 0.000
5.809 5.497 0.000
-1.702 0.000 4.433
Tc Ag Sn
1 2 8
direct
0.000 0.000 0.000
0.281 0.281 0.234
0.719 0.719 0.766
0.094 0.623 0.851
0.136 0.136 0.616
0.361 0.639 0.500
0.377 0.906 0.149
0.623 0.094 0.851
0.639 0.361 0.500
0.864 0.864 0.384
0.906 0.377 0.149
```

formation energy = 1.72 eV per formula unit

***

[3]
The following is a PBE-GGA calculation of a geometry-optimized Ac12CdSn6 structure, from Alexandria.

Structure (POSCAR):
```
Ac12CdSn6
1.0
7.445 4.298 4.381
-7.445 4.298 4.381
0.000 -8.596 4.381
Ac Cd Sn
12 1 6
direct
0.050 0.672 0.946
0.054 0.950 0.328
0.185 0.417 0.557
0.328 0.054 0.950
0.417 0.557 0.185
0.443 0.815 0.583
0.557 0.185 0.417
0.583 0.443 0.815
0.672 0.946 0.050
0.815 0.583 0.443
0.946 0.050 0.672
0.950 0.328 0.054
0.000 0.000 0.000
0.130 0.624 0.315
0.315 0.130 0.624
0.376 0.685 0.870
0.624 0.315 0.130
0.685 0.870 0.376
0.870 0.376 0.685
```

formation energy = -6.24 eV per formula unit

***

[4]
The following is a PBE-GGA calculation of a geometry-optimized NaY2VTc structure, from Alexandria.

Structure (POSCAR):
```
NaY2VTc
1.0
5.309 0.000 0.000
0.000 5.309 0.000
0.000 0.000 4.590
Na Y V Tc
1 2 1 1
direct
0.000 0.000 0.000
0.000 0.500 0.000
0.500 0.000 0.000
0.000 0.000 0.500
0.500 0.500 0.500
```

formation energy = 8.56 eV per formula unit

***

Question: Among the records above, which one has the lowest formation energy?
Answer: Ac12CdSn6

***

Question: What is the formation energy in the second record?
Answer: 1.72 eV per formula unit

***

Question: Which of these has the highest formation energy?
Answer: NaY2VTc

***

Question: Among the records above, which one has the lowest formation energy?
Answer: Ac12CdSn6